# 1
The following is a DFT calculation (GGA-PBE) of a relaxed structure of TaReF3.

Unit cell a=4.300 b=4.300 c=4.300 alpha=90.00 beta=90.00 gamma=90.00
Space group Pm-3m (No. 221)
Asymmetric unit:
Ta (0.000, 0.000, 0.000) x1
Re (0.500, 0.500, 0.500) x1
F (0.000, 0.000, 0.500) x3

Calculated values
The value obtained for the excess energy over the best structure of this formula in the dataset is 0.000 eV per atom. The value obtained for the formation energy without anion corrections is -0.35 eV/atom. The calculation puts the total magnetization at 3.00 μB/f.u. The calculated total energy is -6.330 eV/atom.

# 2
The following is a DFT calculation (GGA-PBE) of a relaxed structure of Ta2ReF.

Unit cell a=6.323 b=6.323 c=6.323 alpha=90.00 beta=90.00 gamma=90.00
Space group Fm-3m (No. 225)
Asymmetric unit:
Ta (0.250, 0.250, 0.250) x8
Re (0.000, 0.000, 0.000) x4
F (0.000, 0.000, 0.500) x4

Calculated values
The value obtained for the excess energy over the best structure of this formula in the dataset is 0.000 eV per atom. The value obtained for the formation energy without anion corrections is -0.10 eV/atom. The calculation puts the total magnetization at 0.00 μB/f.u. The calculated total energy is -9.603 eV/atom.

# 3
The following is a DFT calculation (GGA-PBE) of a relaxed structure of TaRe3F.

Unit cell a=4.818 b=4.818 c=4.818 alpha=90.00 beta=90.00 gamma=90.00
Space group Pm-3m (No. 221)
Asymmetric unit:
Ta (0.000, 0.000, 0.000) x1
Re (0.000, 0.000, 0.500) x3
F (0.500, 0.500, 0.500) x1

Calculated values
The value obtained for the excess energy over the best structure of this formula in the dataset is 1.578 eV per atom. The value obtained for the formation energy without anion corrections is 2.54 eV/atom. The calculation puts the total magnetization at 3.39 μB/f.u. The calculated total energy is -7.672 eV/atom.

# 4
The following is a DFT calculation (GGA-PBE) of a relaxed structure of Ta2ReF.

Unit cell a=4.851 b=4.851 c=12.714 alpha=90.00 beta=90.00 gamma=90.00
Space group I-42d (No. 122)
Asymmetric unit:
Ta (0.179, 0.250, 0.125) x8
Re (0.000, 0.000, 0.500) x4
F (0.000, 0.000, 0.000) x4

Calculated values
The value obtained for the excess energy over the best structure of this formula in the dataset is 0.513 eV per atom. The value obtained for the formation energy without anion corrections is 0.42 eV/atom. The calculation puts the total magnetization at 0.00 μB/f.u. The calculated total energy is -9.090 eV/atom.